Entry 1:
Compound: HfZrNb2
Source: Alexandria
Functional: PBE
Structure: optimized geometry

Calculated values
calculated formation energy = 0.309 eV/atom
energy = -74.8 eV/cell
M_tot = 0.000 Bohr magnetons per cell
polymorph energy (0 for the lowest one) = 0.947 eV per formula unit
crystal system = hexagonal

Cell: 5.0459 5.0459 7.8477 Å, 90.00 90.00 120.00°
Space group P6_3/mmc (No. 194)
One atom of each set of equivalent atoms:
Hf (0.3333, 0.6667, 0.2500) [2 per cell]
Zr (0.0000, 0.0000, 0.2500) [2 per cell]
Nb (0.3333, 0.6667, 0.5897) [4 per cell]

Entry 2:
Compound: HfZrNb2
Source: Alexandria
Functional: PBE
Structure: optimized geometry

Calculated values
calculated formation energy = 0.083 eV/atom
energy = -153.2 eV/cell
M_tot = 0.000 Bohr magnetons per cell
polymorph energy (0 for the lowest one) = 0.043 eV per formula unit
crystal system = orthorhombic

Cell: 6.3977 7.1975 7.1677 Å, 90.00 90.00 90.00°
Space group Imma (No. 74)
One atom of each set of equivalent atoms:
Hf (0.0000, 0.2500, 0.2322) [4 per cell]
Zr (0.0000, 0.2500, 0.7704) [4 per cell]
Nb (0.2111, 0.0000, 0.5000) [8 per cell]

Entry 3:
Compound: HfZr2Nb
Source: Alexandria
Functional: PBE
Structure: optimized geometry

Calculated values
calculated formation energy = 0.152 eV/atom
energy = -109.5 eV/cell
M_tot = 0.000 Bohr magnetons per cell
polymorph energy (0 for the lowest one) = 0.290 eV per formula unit
crystal system = trigonal

Cell: 3.1535 3.1535 30.5161 Å, 90.00 90.00 120.00°
Space group R3m (No. 160, hexagonal axes)
One atom of each set of equivalent atoms:
Hf (0.0000, 0.0000, 0.0000) [3 per cell]
Zr (0.0000, 0.0000, 0.5812) [3 per cell]
Zr (0.0000, 0.0000, 0.7522) [3 per cell]
Nb (0.0000, 0.0000, 0.1666) [3 per cell]

Entry 4:
Compound: Hf4Zr3Nb2
Source: Alexandria
Functional: PBE
Structure: optimized geometry

Calculated values
calculated formation energy = 0.058 eV/atom
energy = -170.1 eV/cell
M_tot = 0.000 Bohr magnetons per cell
crystal system = triclinic

Cell: 5.7645 7.7238 9.4484 Å, 106.32 101.44 96.53°
Space group P-1 (No. 2)
One atom of each set of equivalent atoms:
Hf (0.0276, 0.2795, 0.4380) [2 per cell]
Hf (0.1842, 0.3932, 0.0604) [2 per cell]
Hf (0.1984, 0.9367, 0.9198) [2 per cell]
Hf (0.3777, 0.6038, 0.3993) [2 per cell]
Zr (0.0723, 0.8427, 0.2668) [2 per cell]
Zr (0.2391, 0.5252, 0.7775) [2 per cell]
Zr (0.4041, 0.1725, 0.2580) [2 per cell]
Nb (0.3300, 0.0491, 0.5799) [2 per cell]
Nb (0.4890, 0.7523, 0.1206) [2 per cell]

Entry 5:
Compound: Hf2ZrNb
Source: Alexandria
Functional: PBE
Structure: optimized geometry

Calculated values
calculated formation energy = 0.565 eV/atom
energy = -145.1 eV/cell
M_tot = 0.000 Bohr magnetons per cell
polymorph energy (0 for the lowest one) = 1.972 eV per formula unit
crystal system = tetragonal

Cell: 7.7082 7.7082 5.9492 Å, 90.00 90.00 90.00°
Space group I-42d (No. 122)
One atom of each set of equivalent atoms:
Hf (0.2374, 0.7500, 0.1250) [8 per cell]
Zr (0.0000, 0.0000, 0.5000) [4 per cell]
Nb (0.0000, 0.0000, 0.0000) [4 per cell]

Entry 6:
Compound: HfZrNb2
Source: Alexandria
Functional: PBE
Structure: optimized geometry

Calculated values
calculated formation energy = 0.107 eV/atom
energy = -38.2 eV/cell
M_tot = 0.000 Bohr magnetons per cell
polymorph energy (0 for the lowest one) = 0.140 eV per formula unit
crystal system = tetragonal

Cell: 3.4298 3.4298 6.8561 Å, 90.00 90.00 90.00°
Space group P4/mmm (No. 123)
One atom of each set of equivalent atoms:
Hf (0.0000, 0.0000, 0.0000) [1 per cell]
Zr (0.0000, 0.0000, 0.5000) [1 per cell]
Nb (0.5000, 0.5000, 0.2499) [2 per cell]

Q: Among the records above, which one has the lowest calculated formation energy?
A: Hf4Zr3Nb2

Q: Among the records above, which one has the lowest energy?
A: Hf4Zr3Nb2

Q: Among the records above, which one has the highest calculated formation energy?
A: Hf2ZrNb